1.
Dy3GeBi PBE optimized geometry; space-group type = No. 59; formation enthalpy at 0 K = -0.70 eV/atom; total energy = -51.6 eV per cell
1.0
4.4006 0.0000 0.0000
0.0000 6.8870 0.0000
0.0000 0.0000 9.5025
Dy Ge Bi
6 2 2
direct
0.2500 0.0076 0.1605 Dy
0.2500 0.2500 0.5860 Dy
0.2500 0.4924 0.1605 Dy
0.7500 0.5076 0.8395 Dy
0.7500 0.7500 0.4140 Dy
0.7500 0.9924 0.8395 Dy
0.2500 0.2500 0.9014 Ge
0.7500 0.7500 0.0986 Ge
0.2500 0.7500 0.6503 Bi
0.7500 0.2500 0.3497 Bi

=====

2.
DyGe2Bi PBE optimized geometry; space-group type = No. 123; polymorph energy (0 for the lowest one) = 0 meV/atom; formation enthalpy at 0 K = -0.30 eV/atom; total energy = -18.9 eV per cell
1.0
4.7918 0.0000 0.0000
0.0000 4.7918 0.0000
0.0000 0.0000 4.1240
Dy Ge Bi
1 2 1
direct
0.0000 0.0000 0.0000 Dy
0.0000 0.5000 0.5000 Ge
0.5000 0.0000 0.5000 Ge
0.5000 0.5000 0.0000 Bi

=====

3.
Dy4GeBi2 PBE optimized geometry; space-group type = No. 11; formation enthalpy at 0 K = -0.56 eV/atom; total energy = -69.4 eV per cell
1.0
6.7084 0.0000 0.0000
0.0000 6.6023 0.0000
-3.1104 0.0000 9.2569
Dy Ge Bi
8 2 4
direct
0.0110 0.0031 0.2557 Dy
0.0110 0.4969 0.2557 Dy
0.3839 0.7500 0.0553 Dy
0.4399 0.7500 0.6440 Dy
0.5601 0.2500 0.3560 Dy
0.6161 0.2500 0.9447 Dy
0.9890 0.5031 0.7443 Dy
0.9890 0.9969 0.7443 Dy
0.3629 0.7500 0.3395 Ge
0.6371 0.2500 0.6605 Ge
0.1926 0.2500 0.5486 Bi
0.2020 0.2500 0.0390 Bi
0.7980 0.7500 0.9610 Bi
0.8074 0.7500 0.4514 Bi

=====

4.
DyGeBiO5 PBE optimized geometry; space-group type = No. 15; formation energy (no corrections) = -2.10 eV/atom; total energy = -109.4 eV per cell
1.0
3.4411 -4.8230 0.0000
3.4411 4.8230 0.0000
-2.6915 0.0000 7.2152
Dy Ge Bi O
2 2 2 10
direct
0.0000 0.0000 0.0000 Dy
0.0000 0.0000 0.5000 Dy
0.3219 0.6781 0.7500 Ge
0.6781 0.3219 0.2500 Ge
0.3267 0.6733 0.2500 Bi
0.6733 0.3267 0.7500 Bi
0.0769 0.6610 0.8588 O
0.1081 0.8919 0.2500 O
0.2646 0.4071 0.5724 O
0.3390 0.9231 0.6412 O
0.4071 0.2646 0.0724 O
0.5929 0.7354 0.9276 O
0.6610 0.0769 0.3588 O
0.7354 0.5929 0.4276 O
0.8919 0.1081 0.7500 O
0.9231 0.3390 0.1412 O

=====

5.
DyGeBiO6 PBE optimized geometry; space-group type = No. 149; formation energy (no corrections) = -1.67 eV/atom; total energy = -57.8 eV per cell
1.0
5.3940 0.0000 0.0000
-2.6970 4.6714 0.0000
0.0000 0.0000 4.5963
Dy Ge Bi O
1 1 1 6
direct
0.0000 0.0000 0.0000 Dy
0.3333 0.6667 0.0000 Ge
0.6667 0.3333 0.5000 Bi
0.0267 0.3721 0.2374 O
0.0267 0.6547 0.7626 O
0.3453 0.3721 0.7626 O
0.3453 0.9733 0.2374 O
0.6279 0.6547 0.2374 O
0.6279 0.9733 0.7626 O

=====

6.
DyGe2BiO8 PBE optimized geometry; space-group type = No. 119; formation energy (no corrections) = -1.77 eV/atom; total energy = -78.6 eV per cell
1.0
-3.5334 3.5334 3.2026
3.5334 -3.5334 3.2026
3.5334 3.5334 -3.2026
Dy Ge Bi O
1 2 1 8
direct
0.0000 0.0000 0.0000 Dy
0.2500 0.7500 0.5000 Ge
0.5000 0.5000 0.0000 Ge
0.7500 0.2500 0.5000 Bi
0.0568 0.3768 0.3200 O
0.0568 0.7368 0.6800 O
0.1271 0.3107 0.8164 O
0.2632 0.9432 0.3200 O
0.4944 0.3107 0.1836 O
0.6232 0.9432 0.6800 O
0.6893 0.5056 0.8164 O
0.6893 0.8729 0.1836 O

=====

7.
Dy2Ge2BiRh5 PBE optimized geometry; space-group type = No. 127; formation enthalpy at 0 K = -0.73 eV/atom; total energy = -132.7 eV per cell
1.0
9.8829 0.0000 0.0000
0.0000 9.8829 0.0000
0.0000 0.0000 3.6949
Dy Ge Bi Rh
4 4 2 10
direct
0.1763 0.3237 0.0000 Dy
0.3237 0.8237 0.0000 Dy
0.6763 0.1763 0.0000 Dy
0.8237 0.6763 0.0000 Dy
0.1201 0.6201 0.0000 Ge
0.3799 0.1201 0.0000 Ge
0.6201 0.8799 0.0000 Ge
0.8799 0.3799 0.0000 Ge
0.0000 0.0000 0.0000 Bi
0.5000 0.5000 0.0000 Bi
0.0000 0.5000 0.5000 Rh
0.0698 0.7829 0.5000 Rh
0.2171 0.0698 0.5000 Rh
0.2829 0.5698 0.5000 Rh
0.4302 0.2829 0.5000 Rh
0.5000 0.0000 0.5000 Rh
0.5698 0.7171 0.5000 Rh
0.7171 0.4302 0.5000 Rh
0.7829 0.9302 0.5000 Rh
0.9302 0.2171 0.5000 Rh

=====

8.
Dy4GeBiSe2 PBE optimized geometry; space-group type = No. 10; formation energy (no corrections) = -1.34 eV/atom; total energy = -44.6 eV per cell
1.0
7.2487 0.0000 0.0000
0.0000 4.2117 0.0000
-2.4568 0.0000 6.9403
Dy Ge Bi Se
4 1 1 2
direct
0.2436 0.0000 0.2340 Dy
0.2532 0.5000 0.7683 Dy
0.7468 0.5000 0.2317 Dy
0.7564 0.0000 0.7660 Dy
0.0000 0.5000 0.0000 Ge
0.0000 0.0000 0.5000 Bi
0.5000 0.0000 0.0000 Se
0.5000 0.5000 0.5000 Se

=====

9.
Dy4GeBi2Se PBE optimized geometry; space-group type = No. 10; formation energy (no corrections) = -1.09 eV/atom; total energy = -43.0 eV per cell
1.0
7.4151 0.0000 0.0000
0.0000 4.2735 0.0000
-2.4589 0.0000 7.1058
Dy Ge Bi Se
4 1 2 1
direct
0.2368 0.0000 0.2270 Dy
0.2475 0.5000 0.7694 Dy
0.7525 0.5000 0.2306 Dy
0.7632 0.0000 0.7730 Dy
0.0000 0.5000 0.0000 Ge
0.0000 0.0000 0.5000 Bi
0.5000 0.5000 0.5000 Bi
0.5000 0.0000 0.0000 Se

=====

10.
Dy8Ge3BiTe4 PBE optimized geometry; space-group type = No. 166; formation energy (no corrections) = -1.17 eV/atom; total energy = -85.9 eV per cell
1.0
4.2968 2.4807 7.1051
-4.2968 2.4807 7.1051
0.0000 -4.9615 7.1051
Dy Ge Bi Te
8 3 1 4
direct
0.2273 0.7492 0.7492 Dy
0.2400 0.2400 0.2400 Dy
0.2508 0.2508 0.7727 Dy
0.2508 0.7727 0.2508 Dy
0.7492 0.2273 0.7492 Dy
0.7492 0.7492 0.2273 Dy
0.7600 0.7600 0.7600 Dy
0.7727 0.2508 0.2508 Dy
0.0000 0.0000 0.5000 Ge
0.0000 0.5000 0.0000 Ge
0.5000 0.0000 0.0000 Ge
0.5000 0.5000 0.5000 Bi
0.0000 0.0000 0.0000 Te
0.0000 0.5000 0.5000 Te
0.5000 0.0000 0.5000 Te
0.5000 0.5000 0.0000 Te

=====

11.
Dy6GeBi2Te3 PBE optimized geometry; space-group type = No. 12; formation energy (no corrections) = -1.14 eV/atom; total energy = -63.1 eV per cell
1.0
9.5527 -2.1790 0.0000
9.5527 2.1790 0.0000
-1.9709 0.0000 8.5500
Dy Ge Bi Te
6 1 2 3
direct
0.0008 0.0008 0.2780 Dy
0.3351 0.3351 0.9180 Dy
0.3469 0.3469 0.4228 Dy
0.6531 0.6531 0.5772 Dy
0.6649 0.6649 0.0820 Dy
0.9992 0.9992 0.7220 Dy
0.5000 0.5000 0.5000 Ge
0.1670 0.1670 0.8339 Bi
0.8330 0.8330 0.1661 Bi
0.1707 0.1707 0.3361 Te
0.5000 0.5000 0.0000 Te
0.8293 0.8293 0.6639 Te

=====

12.
Dy6Ge2BiTe3 PBE optimized geometry; space-group type = No. 12; formation energy (no corrections) = -1.17 eV/atom; total energy = -64.2 eV per cell
1.0
9.4362 -2.1502 0.0000
9.4362 2.1502 0.0000
-2.0297 0.0000 8.4711
Dy Ge Bi Te
6 2 1 3
direct
0.0121 0.0121 0.2558 Dy
0.3259 0.3259 0.4322 Dy
0.3303 0.3303 0.8881 Dy
0.6697 0.6697 0.1119 Dy
0.6741 0.6741 0.5678 Dy
0.9879 0.9879 0.7442 Dy
0.1683 0.1683 0.3363 Ge
0.8317 0.8317 0.6637 Ge
0.5000 0.5000 0.0000 Bi
0.1626 0.1626 0.8341 Te
0.5000 0.5000 0.5000 Te
0.8374 0.8374 0.1659 Te

=====

no.,D(E_F) (states/eV/cell)
1,6.978
2,2.221
3,11.189
4,0.000
5,5.942
6,4.702
7,12.344
8,1.682
9,1.612
10,3.534
11,4.172
12,2.564